Entry 1:
Below is crystalline KCSeBr2 at its relaxed geometry, with properties calculated at the PBE level.

Density   1.85 g/cm3
Distance to the lowest polymorph of the same formula   1283 meV/atom
Formation energy from raw total energies   1.583 eV per atom
Magnetization   4.64 μB per formula unit
DOS at the Fermi energy   2.363 states/eV per atom

Cell: 6.2989 6.2989 6.5720 Å, 90.00 90.00 90.00°
Closest atoms and distances in Å follow each position.
Element x y z (fractional)
K (0.0000, 0.0000, 0.0000)  4 Br 3.15, 2 Se 3.29
C (0.5000, 0.5000, 0.5000)  4 Se 4.45, 8 Br 4.55
Se (0.0000, 0.0000, 0.5000)  2 K 3.29
Br (0.0000, 0.5000, 0.0000)  2 K 3.15
Br (0.5000, 0.0000, 0.0000)  2 K 3.15

Entry 2:
Below is crystalline AgSb2Te at its relaxed geometry, with properties calculated at the PBE level.

Density   7.22 g/cm3
Formation energy from raw total energies   0.092 eV per atom
Magnetization   0.00 μB per formula unit
DOS at the Fermi energy   0.526 states/eV per atom

Cell: 7.1506 7.1506 7.1506 Å, 35.49 35.49 35.49°
Closest atoms and distances in Å follow each position.
Element x y z (fractional)
Ag (0.0000, 0.0000, 0.0000)  6 Sb 2.87
Sb (0.2650, 0.2650, 0.2650)  3 Ag 2.87, 3 Te 3.20
Sb (0.7350, 0.7350, 0.7350)  3 Ag 2.87, 3 Te 3.20
Te (0.5000, 0.5000, 0.5000)  6 Sb 3.20

Entry 3:
Below is crystalline Rb2PaI5Br at its relaxed geometry, with properties calculated at the PBE level.

Density   4.29 g/cm3
Formation energy from raw total energies   -1.293 eV per atom
Magnetization   1.01 μB per formula unit

Cell: 8.4319 8.4319 8.4319 Å, 118.70 118.70 92.27°
Closest atoms and distances in Å follow each position.
Element x y z (fractional)
Rb (0.0000, 0.5000, 0.5000)  10 I 4.17-4.30, 2 Br 4.30
Rb (0.5000, 0.0000, 0.5000)  10 I 4.17-4.30, 2 Br 4.30
Pa (0.2483, 0.2483, 0.0000)  1 Br 2.78, 5 I 3.02-3.05
I (0.4945, 0.4945, 0.5010)  1 Pa 3.05
I (0.4945, 0.9936, 0.0000)  1 Pa 3.05
I (0.9896, 0.9896, 0.0000)  1 Pa 3.02
I (0.9936, 0.4945, 0.0000)  1 Pa 3.05
I (0.9936, 0.9936, 0.4990)  1 Pa 3.05
Br (0.4858, 0.4858, 0.0000)  1 Pa 2.78

Entry 4:
Below is crystalline Cs2Cd3Au5 at its relaxed geometry, with properties calculated at the PBE level.

Density   9.29 g/cm3
E_tot   -2.273 eV/atom
Magnetization   0.00 μB per formula unit
DOS at the Fermi energy   0.262 states/eV per atom

Cell: 9.6809 9.6809 9.6809 Å, 109.56 86.77 136.18°
Closest atoms and distances in Å follow each position.
Element x y z (fractional)
Cs (0.1277, 0.2406, 0.3683)  10 Au 3.70-3.85, 7 Cd 3.77-3.97
Cs (0.3723, 0.7406, 0.1130)  10 Au 3.70-3.85, 7 Cd 3.77-3.97
Cs (0.6277, 0.2594, 0.8870)  10 Au 3.70-3.85, 7 Cd 3.77-3.97
Cs (0.8723, 0.7594, 0.6317)  10 Au 3.70-3.85, 7 Cd 3.77-3.97
Cd (0.1336, 0.8941, 0.0278)  5 Au 2.84-2.89
Cd (0.2500, 0.7500, 0.5000)  6 Au 2.92-3.24
Cd (0.3664, 0.3941, 0.7605)  5 Au 2.84-2.89
Cd (0.6336, 0.6059, 0.2395)  5 Au 2.84-2.89
Cd (0.7500, 0.2500, 0.5000)  6 Au 2.92-3.24
Cd (0.8664, 0.1059, 0.9722)  5 Au 2.84-2.89
Au (0.0200, 0.7500, 0.2700)  2 Au 2.86, 2 Cd 2.89
Au (0.1186, 0.6410, 0.7596)  3 Cd 2.84-2.92, 2 Au 2.86
Au (0.2500, 0.2500, 0.0000)  4 Cd 2.86
Au (0.3814, 0.1410, 0.5223)  3 Cd 2.84-2.92, 2 Au 2.86
Au (0.4800, 0.7500, 0.7300)  2 Au 2.86, 2 Cd 2.89
Au (0.5200, 0.2500, 0.2700)  2 Au 2.86, 2 Cd 2.89
Au (0.6186, 0.8590, 0.4777)  3 Cd 2.84-2.92, 2 Au 2.86
Au (0.7500, 0.7500, 0.0000)  4 Cd 2.86
Au (0.8814, 0.3590, 0.2404)  3 Cd 2.84-2.92, 2 Au 2.86
Au (0.9800, 0.2500, 0.7300)  2 Au 2.86, 2 Cd 2.89

Entry 5:
Below is crystalline Nd2GaGe at its relaxed geometry, with properties calculated at the PBE level.

Density   6.90 g/cm3
E_tot   -5.053 eV/atom
Magnetization   0.12 μB per formula unit
DOS at the Fermi energy   0.927 states/eV per atom

Cell: 6.0539 4.1107 8.7677 Å, 90.00 108.21 90.00°
Closest atoms and distances in Å follow each position.
Element x y z (fractional)
Nd (0.2080, 0.2500, 0.4291)  3 Ge 3.13-3.30, 4 Ga 3.14-3.29
Nd (0.2874, 0.7500, 0.0694)  4 Ge 3.12-3.30, 3 Ga 3.14-3.30
Nd (0.7126, 0.2500, 0.9306)  4 Ge 3.12-3.30, 3 Ga 3.14-3.30
Nd (0.7920, 0.7500, 0.5709)  3 Ge 3.13-3.30, 4 Ga 3.14-3.29
Ga (0.3626, 0.7500, 0.7130)  2 Ge 2.66
Ga (0.6374, 0.2500, 0.2870)  2 Ge 2.66
Ge (0.1391, 0.2500, 0.7884)  2 Ga 2.66
Ge (0.8609, 0.7500, 0.2116)  2 Ga 2.66

Entry 6:
Below is crystalline K3CeTm3Te8 at its relaxed geometry, with properties calculated at the PBE level.

Density   5.23 g/cm3
Formation energy from raw total energies   -1.331 eV per atom
Magnetization   0.09 μB per formula unit
DOS at the Fermi energy   0.007 states/eV per atom

Cell: 9.7948 9.7948 9.7948 Å, 53.72 53.72 53.72°
Closest atoms and distances in Å follow each position.
Element x y z (fractional)
K (0.0000, 0.5000, 0.5000)  6 Te 3.55-3.56
K (0.5000, 0.0000, 0.5000)  6 Te 3.55-3.56
K (0.5000, 0.5000, 0.0000)  6 Te 3.55-3.56
Ce (0.5000, 0.5000, 0.5000)  6 Te 3.12
Tm (0.0000, 0.0000, 0.5000)  6 Te 3.06-3.08
Tm (0.0000, 0.5000, 0.0000)  6 Te 3.06-3.08
Tm (0.5000, 0.0000, 0.0000)  6 Te 3.06-3.08
Te (0.2294, 0.7381, 0.7381)  2 Tm 3.06, 1 Ce 3.12
Te (0.2351, 0.2351, 0.2351)  3 Tm 3.08
Te (0.2619, 0.2619, 0.7706)  2 Tm 3.06, 1 Ce 3.12
Te (0.2619, 0.7706, 0.2619)  2 Tm 3.06, 1 Ce 3.12
Te (0.7381, 0.2294, 0.7381)  2 Tm 3.06, 1 Ce 3.12
Te (0.7381, 0.7381, 0.2294)  2 Tm 3.06, 1 Ce 3.12
Te (0.7649, 0.7649, 0.7649)  3 Tm 3.08
Te (0.7706, 0.2619, 0.2619)  2 Tm 3.06, 1 Ce 3.12